(1)
Entry from Alexandria: a relaxed structure of Nd2GaFe2Co5 (PBE).

- Energy of formation: 0.074 eV per atom
- Mass density: 8.23 g/cm³

Cell lengths 9.212, 9.212, 3.634 Å; angles 90.00, 90.00, 90.00 degrees
Fractional coordinates of all 20 atoms:
Nd1 0.186 0.314 0.000
Nd2 0.314 0.814 0.000
Nd3 0.686 0.186 0.000
Nd4 0.814 0.686 0.000
Ga1 0.000 0.000 0.000
Ga2 0.500 0.500 0.000
Fe1 0.112 0.612 0.000
Fe2 0.388 0.112 0.000
Fe3 0.612 0.888 0.000
Fe4 0.888 0.388 0.000
Co1 0.000 0.500 0.500
Co2 0.055 0.790 0.500
Co3 0.210 0.055 0.500
Co4 0.290 0.555 0.500
Co5 0.445 0.290 0.500
Co6 0.500 0.000 0.500
Co7 0.555 0.710 0.500
Co8 0.710 0.445 0.500
Co9 0.790 0.945 0.500
Co10 0.945 0.210 0.500



(2)
Entry from Alexandria: a relaxed structure of Ga2FeCoNi (PBE).

- Energy of formation: 0.829 eV per atom
- Mass density: 6.14 g/cm³

Cell lengths 4.452, 4.452, 4.271 Å; angles 90.00, 90.00, 90.00 degrees
Fractional coordinates of all 5 atoms:
Ga1 0.000 0.500 0.000
Ga2 0.500 0.000 0.000
Fe1 0.000 0.000 0.000
Co1 0.500 0.500 0.500
Ni1 0.000 0.000 0.500



What is the energy of formation in the second record? 0.829 eV per atom



Which formula does entry 2 have? Ga2FeCoNi



What is the mass density in the second record? 6.14 g/cm³



Look up the mass density of the second one. 6.14 g/cm³